Entry 1:
Compound: LiTc2W
Source: the Alexandria database
Functional: PBE-GGA
Structure: relaxed

Cell and atoms, written as extended XYZ:
```
4
Lattice="-0.069 3.703 -3.529 -1.292 -1.304 -4.775 -1.516 0.092 4.885" Properties=species:S:1:pos:R:3 pbc="T T T"
Tc -1.349 2.377 -8.228
Tc -1.134 2.499 -1.402
Li -1.740 -0.014 -1.995
W -0.697 1.228 -4.249
```

ΔE to the lowest computed polymorph in eV per atom: 0.0708
Space-group type: Imm2, No. 44
Formation energy from the elements in eV/atom: 0.233
Spin magnetization in μB/f.u.: 0.001

Entry 2:
Compound: LiTcW2
Source: the Alexandria database
Functional: PBE-GGA
Structure: relaxed

Cell and atoms, written as extended XYZ:
```
4
Lattice="-2.334 0.360 1.179 0.028 -2.508 0.822 4.202 2.520 7.550" Properties=species:S:1:pos:R:3 pbc="T T T"
Tc 1.995 0.814 6.656
Li 2.125 1.274 3.817
W -0.103 -0.444 2.887
W 4.183 2.508 7.515
```

ΔE to the lowest computed polymorph in eV per atom: 0.2282
Space-group type: P4mm, No. 99
Formation energy from the elements in eV/atom: 0.483
Spin magnetization in μB/f.u.: 0.000

Entry 3:
Compound: LiTcW3
Source: the Alexandria database
Functional: PBE-GGA
Structure: relaxed

Cell and atoms, written as extended XYZ:
```
5
Lattice="4.210 0.000 0.000 0.000 4.210 0.000 0.000 0.000 4.210" Properties=species:S:1:pos:R:3 pbc="T T T"
W 0.000 0.000 2.105
Li 0.000 0.000 0.000
W 0.000 2.105 0.000
W 2.105 0.000 0.000
Tc 2.105 2.105 2.105
```

ΔE to the lowest computed polymorph in eV per atom: 0.0000
Space-group type: Pm-3m, No. 221
Formation energy from the elements in eV/atom: 1.435
Spin magnetization in μB/f.u.: 0.000